# 1
Material: KZr
Method: DFT, PBE
State: relaxed

a = 16.242 Å, b = 16.242 Å, c = 3.102 Å
α = 90.00°, β = 90.00°, γ = 90.00°
Sites, in units of the cell vectors:
K 0.459 0.696 0.000
K 0.541 0.304 0.000
K 0.304 0.459 0.000
K 0.696 0.541 0.000
K 0.959 0.196 0.500
K 0.041 0.804 0.500
K 0.804 0.959 0.500
K 0.196 0.041 0.500
Zr 0.320 0.233 0.000
Zr 0.680 0.767 0.000
Zr 0.767 0.320 0.000
Zr 0.233 0.680 0.000
Zr 0.820 0.733 0.500
Zr 0.180 0.267 0.500
Zr 0.267 0.820 0.500
Zr 0.733 0.180 0.500

Properties
Total magnetic moment: 0.000 μB per atom
E_form: 0.99 eV per atom
Uncorrected energy: -7.67 eV per formula unit
Crystal system: tetragonal

# 2
Material: KZr2
Method: DFT, PBE
State: relaxed

a = 3.314 Å, b = 3.314 Å, c = 9.306 Å
α = 90.00°, β = 90.00°, γ = 120.00°
Sites, in units of the cell vectors:
K 0.000 0.000 0.000
Zr 0.333 0.667 0.628
Zr 0.667 0.333 0.372

Properties
Total magnetic moment: 0.000 μB per atom
E_form: 0.50 eV per atom
Uncorrected energy: -16.70 eV per formula unit
Crystal system: trigonal

# 3
Material: K5Zr
Method: DFT, PBE
State: relaxed

a = 12.323 Å, b = 12.323 Å, c = 7.013 Å
α = 90.00°, β = 90.00°, γ = 162.00°
Sites, in units of the cell vectors:
K 0.021 0.979 0.000
K 0.343 0.657 0.000
K 0.663 0.337 0.000
K 0.455 0.545 0.500
K 0.749 0.251 0.500
Zr 0.102 0.898 0.500

Properties
Total magnetic moment: 0.557 μB per atom
E_form: 0.58 eV per atom
Uncorrected energy: -10.57 eV per formula unit
Crystal system: orthorhombic

# 4
Material: KZr
Method: DFT, PBE
State: relaxed

a = 11.046 Å, b = 11.046 Å, c = 11.046 Å
α = 90.00°, β = 90.00°, γ = 90.00°
Sites, in units of the cell vectors:
K 0.211 0.211 0.211
K 0.211 0.789 0.789
K 0.789 0.211 0.789
K 0.789 0.789 0.211
K 0.711 0.711 0.711
K 0.711 0.289 0.289
K 0.289 0.711 0.289
K 0.289 0.289 0.711
Zr 0.411 0.411 0.411
Zr 0.411 0.589 0.589
Zr 0.589 0.411 0.589
Zr 0.589 0.589 0.411
Zr 0.911 0.911 0.911
Zr 0.911 0.089 0.089
Zr 0.089 0.911 0.089
Zr 0.089 0.089 0.911

Properties
Total magnetic moment: 0.484 μB per atom
E_form: 1.20 eV per atom
Uncorrected energy: -7.25 eV per formula unit
Crystal system: cubic